No. 1
Here is TmPaReRh after structural relaxation from the Alexandria database. Energies are from GGA-PBE.

Calculated values
The energy relative to the elements comes out at -0.372 eV per atom. The symmetry is F-43m, No. 216. The calculation puts the spin magnetization at 0.00 μB/atom.

Cell and atoms, written as POSCAR:
```
TmPaReRh
1.0
0.000 3.426 3.426
3.426 0.000 3.426
3.426 3.426 0.000
Tm Pa Re Rh
1 1 1 1
Direct
0.000 0.000 0.000
0.500 0.500 0.500
0.250 0.250 0.250
0.750 0.750 0.750
```

No. 2
Here is Dy3Y4Tm after structural relaxation from the Alexandria database. Energies are from GGA-PBE.

Calculated values
The energy relative to the elements comes out at 0.199 eV per atom. The symmetry is Cmmm, No. 65. The calculation puts the spin magnetization at 0.00 μB/atom.

Cell and atoms, written as POSCAR:
```
Dy3Y4Tm
1.0
2.802 -13.083 0.000
2.802 13.083 0.000
0.000 0.000 3.560
Dy Y Tm
3 4 1
Direct
0.000 0.000 0.000
0.155 0.845 0.500
0.845 0.155 0.500
0.277 0.723 0.000
0.398 0.602 0.000
0.602 0.398 0.000
0.723 0.277 0.000
0.500 0.500 0.500
```

No. 3
Here is Re3SiIr after structural relaxation from the Alexandria database. Energies are from GGA-PBE.

Calculated values
Its raw total energy is -45.08 eV per cell. The symmetry is Pm-3m, No. 221. The calculation puts the spin magnetization at 0.00 μB/atom.

Cell and atoms, written as POSCAR:
```
Re3SiIr
1.0
4.344 0.000 0.000
0.000 4.344 0.000
0.000 0.000 4.344
Re Si Ir
3 1 1
Direct
0.000 0.000 0.500
0.000 0.500 0.000
0.500 0.000 0.000
0.000 0.000 0.000
0.500 0.500 0.500
```

No. 4
Here is TiTlTe2I after structural relaxation from the Alexandria database. Energies are from GGA-PBE.

Calculated values
Its raw total energy is -20.05 eV per cell. The symmetry is P4/mmm, No. 123. The calculation puts the spin magnetization at 0.03 μB/atom.

Cell and atoms, written as POSCAR:
```
TiTlTe2I
1.0
5.364 0.000 0.000
0.000 5.364 0.000
0.000 0.000 5.875
Ti Tl Te I
1 1 2 1
Direct
0.000 0.000 0.000
0.500 0.500 0.500
0.000 0.500 0.000
0.500 0.000 0.000
0.000 0.000 0.500
```

Q: Among the records above, which one has the highest spin magnetization?
A: TiTlTe2I

Copy entry 1 word for word.
Here is TmPaReRh after structural relaxation from the Alexandria database. Energies are from GGA-PBE.

Calculated values
The energy relative to the elements comes out at -0.372 eV per atom. The symmetry is F-43m, No. 216. The calculation puts the spin magnetization at 0.00 μB/atom.

Cell and atoms, written as POSCAR:
```
TmPaReRh
1.0
0.000 3.426 3.426
3.426 0.000 3.426
3.426 3.426 0.000
Tm Pa Re Rh
1 1 1 1
Direct
0.000 0.000 0.000
0.500 0.500 0.500
0.250 0.250 0.250
0.750 0.750 0.750
```

Q: Which value of spin magnetization does entry 4 give?
A: 0.03 μB/atom